# V2FePbO6, optimized geometry, DFT PBE with a Hubbard U
data_V2FePbO6
_chemical_formula_sum 'V4 Fe2 Pb2 O12'
_space_group_name_H-M_alt 'P 1'
_space_group_IT_number 1
_cell_length_a 7.546
_cell_length_b 7.546
_cell_length_c 6.098
_cell_angle_alpha 106.92
_cell_angle_beta 106.92
_cell_angle_gamma 82.66
loop_
_space_group_symop_operation_xyz
'x,y,z'
loop_
_atom_site_label
_atom_site_type_symbol
_atom_site_fract_x
_atom_site_fract_y
_atom_site_fract_z
_atom_site_occupancy
V1 V 0.121 0.289 0.167 1
V2 V 0.289 0.121 0.667 1
V3 V 0.711 0.879 0.333 1
V4 V 0.879 0.711 0.833 1
Fe1 Fe 0.223 0.777 0.250 1
Fe2 Fe 0.777 0.223 0.750 1
Pb1 Pb 0.386 0.614 0.750 1
Pb2 Pb 0.614 0.386 0.250 1
O1 O 0.115 0.208 0.841 1
O2 O 0.126 0.688 0.881 1
O3 O 0.208 0.115 0.341 1
O4 O 0.238 0.501 0.296 1
O5 O 0.312 0.874 0.619 1
O6 O 0.499 0.762 0.204 1
O7 O 0.501 0.238 0.796 1
O8 O 0.688 0.126 0.381 1
O9 O 0.762 0.499 0.704 1
O10 O 0.792 0.885 0.659 1
O11 O 0.874 0.312 0.119 1
O12 O 0.885 0.792 0.159 1
# V (Å³/f.u.): 159
# Space group: No. 15
# VASP energy (eV per atom): -7.012